Record 1
# BaTaTl PBE-GGA relaxed
# **DFT total energy**: -4.5718 eV/atom
# **DOS(E_F)**: 1.18 states/eV/atom
# **Calculated formation energy**: 0.809 eV/atom
data_BaTaTl
_chemical_formula_sum 'Ba1 Ta1 Tl1'
_cell_length_a 3.3598
_cell_length_b 3.3598
_cell_length_c 8.5128
_cell_angle_alpha 90.00
_cell_angle_beta 90.00
_cell_angle_gamma 120.00
_symmetry_space_group_name_H-M 'P 3 m 1'
_symmetry_Int_Tables_number 156
_symmetry_space_group_name_Hall 'P 3 -2"'
loop_
_atom_site_label
_atom_site_type_symbol
_atom_site_fract_x
_atom_site_fract_y
_atom_site_fract_z
_atom_site_occupancy
Ba1 Ba 0.0000 0.0000 0.0000 1
Ta1 Ta 0.6667 0.3333 0.3371 1
Tl1 Tl 0.3333 0.6667 0.6238 1



Record 2
# BaTa2Tl PBE-GGA relaxed
# **DFT total energy**: -6.3118 eV/atom
# **DOS(E_F)**: 1.13 states/eV/atom
# **Calculated formation energy**: 0.687 eV/atom
data_BaTa2Tl
_chemical_formula_sum 'Ba2 Ta4 Tl2'
_cell_length_a 9.293
_cell_length_b 3.096
_cell_length_c 7.636
_cell_angle_alpha 90.00
_cell_angle_beta 94.89
_cell_angle_gamma 90.00
_symmetry_space_group_name_H-M 'C 1 m 1'
_symmetry_Int_Tables_number 8
_symmetry_space_group_name_Hall 'C -2y'
loop_
_atom_site_label
_atom_site_type_symbol
_atom_site_fract_x
_atom_site_fract_y
_atom_site_fract_z
_atom_site_occupancy
Ba1 Ba 0.000 0.000 0.000 1
Ta1 Ta 0.225 0.000 0.677 1
Ta2 Ta 0.489 0.000 0.543 1
Tl1 Tl 0.249 0.500 0.321 1



Record 3
# BaTa2Tl PBE-GGA relaxed
# **DFT total energy**: -5.7856 eV/atom
# **DOS(E_F)**: 1.23 states/eV/atom
# **Calculated formation energy**: 1.213 eV/atom
data_BaTa2Tl
_chemical_formula_sum 'Ba2 Ta4 Tl2'
_cell_length_a 6.371
_cell_length_b 10.396
_cell_length_c 2.994
_cell_angle_alpha 90.00
_cell_angle_beta 90.00
_cell_angle_gamma 90.00
_symmetry_space_group_name_H-M 'C m m m'
_symmetry_Int_Tables_number 65
_symmetry_space_group_name_Hall '-C 2 2'
loop_
_atom_site_label
_atom_site_type_symbol
_atom_site_fract_x
_atom_site_fract_y
_atom_site_fract_z
_atom_site_occupancy
Ba1 Ba 0.000 0.000 0.000 1
Ta1 Ta 0.250 0.250 0.500 1
Tl1 Tl 0.000 0.500 0.000 1



Record 4
# BaTa2Tl PBE-GGA relaxed
# **DFT total energy**: -5.9659 eV/atom
# **DOS(E_F)**: 1.74 states/eV/atom
# **Calculated formation energy**: 1.033 eV/atom
data_BaTa2Tl
_chemical_formula_sum 'Ba3 Ta6 Tl3'
_cell_length_a 3.1445
_cell_length_b 3.1445
_cell_length_c 33.9719
_cell_angle_alpha 90.00
_cell_angle_beta 90.00
_cell_angle_gamma 120.00
_symmetry_space_group_name_H-M 'R -3 m'
_symmetry_Int_Tables_number 166
_symmetry_space_group_name_Hall '-R 3 2"'
loop_
_atom_site_label
_atom_site_type_symbol
_atom_site_fract_x
_atom_site_fract_y
_atom_site_fract_z
_atom_site_occupancy
Ba1 Ba 0.0000 0.0000 0.0000 1
Ta1 Ta 0.0000 0.0000 0.2400 1
Tl1 Tl 0.0000 0.0000 0.5000 1



Record 5
# Ba4TaTl PBE-GGA relaxed
# **DFT total energy**: -2.6634 eV/atom
# **DOS(E_F)**: 1.17 states/eV/atom
# **Calculated formation energy**: 0.988 eV/atom
data_Ba4TaTl
_chemical_formula_sum 'Ba16 Ta4 Tl4'
_cell_length_a 10.050
_cell_length_b 10.050
_cell_length_c 10.050
_cell_angle_alpha 90.00
_cell_angle_beta 90.00
_cell_angle_gamma 90.00
_symmetry_space_group_name_H-M 'F -4 3 m'
_symmetry_Int_Tables_number 216
_symmetry_space_group_name_Hall 'F -4 2 3'
loop_
_atom_site_label
_atom_site_type_symbol
_atom_site_fract_x
_atom_site_fract_y
_atom_site_fract_z
_atom_site_occupancy
Ba1 Ba 0.125 0.125 0.125 1
Ta1 Ta 0.250 0.250 0.750 1
Tl1 Tl 0.000 0.000 0.500 1



Record 6
# BaTa2Tl PBE-GGA relaxed
# **DFT total energy**: -6.0944 eV/atom
# **DOS(E_F)**: 1.52 states/eV/atom
# **Calculated formation energy**: 0.904 eV/atom
data_BaTa2Tl
_chemical_formula_sum 'Ba1 Ta2 Tl1'
_cell_length_a 3.836
_cell_length_b 3.836
_cell_length_c 7.524
_cell_angle_alpha 90.00
_cell_angle_beta 90.00
_cell_angle_gamma 90.00
_symmetry_space_group_name_H-M 'P 4/m m m'
_symmetry_Int_Tables_number 123
_symmetry_space_group_name_Hall '-P 4 2'
loop_
_atom_site_label
_atom_site_type_symbol
_atom_site_fract_x
_atom_site_fract_y
_atom_site_fract_z
_atom_site_occupancy
Ba1 Ba 0.000 0.000 0.000 1
Ta1 Ta 0.500 0.500 0.340 1
Tl1 Tl 0.000 0.000 0.500 1



Record 7
# BaTa2Tl PBE-GGA relaxed
# **DFT total energy**: -5.9854 eV/atom
# **DOS(E_F)**: 1.39 states/eV/atom
# **Calculated formation energy**: 1.013 eV/atom
data_BaTa2Tl
_chemical_formula_sum 'Ba4 Ta8 Tl4'
_cell_length_a 7.321
_cell_length_b 7.321
_cell_length_c 7.321
_cell_angle_alpha 90.00
_cell_angle_beta 90.00
_cell_angle_gamma 90.00
_symmetry_space_group_name_H-M 'F -4 3 m'
_symmetry_Int_Tables_number 216
_symmetry_space_group_name_Hall 'F -4 2 3'
loop_
_atom_site_label
_atom_site_type_symbol
_atom_site_fract_x
_atom_site_fract_y
_atom_site_fract_z
_atom_site_occupancy
Ba1 Ba 0.000 0.000 0.000 1
Ta1 Ta 0.000 0.000 0.500 1
Ta2 Ta 0.250 0.250 0.250 1
Tl1 Tl 0.250 0.250 0.750 1



Record 8
# BaTa2Tl PBE-GGA relaxed
# **DFT total energy**: -5.6666 eV/atom
# **DOS(E_F)**: 1.78 states/eV/atom
# **Calculated formation energy**: 1.332 eV/atom
data_BaTa2Tl
_chemical_formula_sum 'Ba4 Ta8 Tl4'
_cell_length_a 7.166
_cell_length_b 7.166
_cell_length_c 7.166
_cell_angle_alpha 90.00
_cell_angle_beta 90.00
_cell_angle_gamma 90.00
_symmetry_space_group_name_H-M 'F m -3 m'
_symmetry_Int_Tables_number 225
_symmetry_space_group_name_Hall '-F 4 2 3'
loop_
_atom_site_label
_atom_site_type_symbol
_atom_site_fract_x
_atom_site_fract_y
_atom_site_fract_z
_atom_site_occupancy
Ba1 Ba 0.000 0.000 0.000 1
Ta1 Ta 0.250 0.250 0.250 1
Tl1 Tl 0.000 0.000 0.500 1



Record 9
# BaTa2Tl PBE-GGA relaxed
# **DFT total energy**: -5.9921 eV/atom
# **DOS(E_F)**: 1.22 states/eV/atom
# **Calculated formation energy**: 1.007 eV/atom
data_BaTa2Tl
_chemical_formula_sum 'Ba1 Ta2 Tl1'
_cell_length_a 3.040
_cell_length_b 3.040
_cell_length_c 10.499
_cell_angle_alpha 90.00
_cell_angle_beta 90.00
_cell_angle_gamma 90.00
_symmetry_space_group_name_H-M 'P 4/m m m'
_symmetry_Int_Tables_number 123
_symmetry_space_group_name_Hall '-P 4 2'
loop_
_atom_site_label
_atom_site_type_symbol
_atom_site_fract_x
_atom_site_fract_y
_atom_site_fract_z
_atom_site_occupancy
Ba1 Ba 0.000 0.000 0.000 1
Ta1 Ta 0.500 0.500 0.286 1
Tl1 Tl 0.000 0.000 0.500 1



Record 10
# BaTa2Tl PBE-GGA relaxed
# **DFT total energy**: -6.3529 eV/atom
# **DOS(E_F)**: 1.31 states/eV/atom
# **Calculated formation energy**: 0.646 eV/atom
data_BaTa2Tl
_chemical_formula_sum 'Ba3 Ta6 Tl3'
_cell_length_a 3.3999
_cell_length_b 3.3999
_cell_length_c 31.3282
_cell_angle_alpha 90.00
_cell_angle_beta 90.00
_cell_angle_gamma 120.00
_symmetry_space_group_name_H-M 'R 3 m'
_symmetry_Int_Tables_number 160
_symmetry_space_group_name_Hall 'R 3 -2"'
loop_
_atom_site_label
_atom_site_type_symbol
_atom_site_fract_x
_atom_site_fract_y
_atom_site_fract_z
_atom_site_occupancy
Ba1 Ba 0.0000 0.0000 0.0000 1
Ta1 Ta 0.0000 0.0000 0.4902 1
Ta2 Ta 0.0000 0.0000 0.7639 1
Tl1 Tl 0.0000 0.0000 0.2346 1



Record 11
# BaTa2Tl PBE-GGA relaxed
# **DFT total energy**: -6.4384 eV/atom
# **DOS(E_F)**: 1.06 states/eV/atom
# **Calculated formation energy**: 0.560 eV/atom
data_BaTa2Tl
_chemical_formula_sum 'Ba2 Ta4 Tl2'
_cell_length_a 3.702
_cell_length_b 5.160
_cell_length_c 10.520
_cell_angle_alpha 90.00
_cell_angle_beta 90.00
_cell_angle_gamma 90.00
_symmetry_space_group_name_H-M 'C m m 2'
_symmetry_Int_Tables_number 35
_symmetry_space_group_name_Hall 'C 2 -2'
loop_
_atom_site_label
_atom_site_type_symbol
_atom_site_fract_x
_atom_site_fract_y
_atom_site_fract_z
_atom_site_occupancy
Ba1 Ba 0.000 0.000 0.000 1
Ta1 Ta 0.000 0.000 0.473 1
Ta2 Ta 0.000 0.500 0.288 1
Tl1 Tl 0.000 0.500 0.706 1



Record 12
# BaTaTl PBE-GGA relaxed
# **DFT total energy**: -4.6373 eV/atom
# **DOS(E_F)**: 0.86 states/eV/atom
# **Calculated formation energy**: 0.743 eV/atom
data_BaTaTl
_chemical_formula_sum 'Ba2 Ta2 Tl2'
_cell_length_a 3.907
_cell_length_b 3.907
_cell_length_c 12.217
_cell_angle_alpha 90.00
_cell_angle_beta 90.00
_cell_angle_gamma 90.00
_symmetry_space_group_name_H-M 'I 4 m m'
_symmetry_Int_Tables_number 107
_symmetry_space_group_name_Hall 'I 4 -2'
loop_
_atom_site_label
_atom_site_type_symbol
_atom_site_fract_x
_atom_site_fract_y
_atom_site_fract_z
_atom_site_occupancy
Ba1 Ba 0.000 0.000 0.000 1
Ta1 Ta 0.000 0.000 0.714 1
Tl1 Tl 0.000 0.000 0.284 1



Record 13
# BaTa2Tl PBE-GGA relaxed
# **DFT total energy**: -5.9949 eV/atom
# **DOS(E_F)**: 1.28 states/eV/atom
# **Calculated formation energy**: 1.004 eV/atom
data_BaTa2Tl
_chemical_formula_sum 'Ba2 Ta4 Tl2'
_cell_length_a 3.935
_cell_length_b 4.656
_cell_length_c 10.534
_cell_angle_alpha 90.00
_cell_angle_beta 90.00
_cell_angle_gamma 90.00
_symmetry_space_group_name_H-M 'C m m m'
_symmetry_Int_Tables_number 65
_symmetry_space_group_name_Hall '-C 2 2'
loop_
_atom_site_label
_atom_site_type_symbol
_atom_site_fract_x
_atom_site_fract_y
_atom_site_fract_z
_atom_site_occupancy
Ba1 Ba 0.000 0.000 0.000 1
Ta1 Ta 0.000 0.500 0.283 1
Tl1 Tl 0.000 0.000 0.500 1



Record 14
# BaTa3Tl PBE-GGA relaxed
# **DFT total energy**: -5.1086 eV/atom
# **DOS(E_F)**: 0.79 states/eV/atom
# **Calculated formation energy**: 2.861 eV/atom
data_BaTa3Tl
_chemical_formula_sum 'Ba1 Ta3 Tl1'
_cell_length_a 5.141
_cell_length_b 5.141
_cell_length_c 5.141
_cell_angle_alpha 90.00
_cell_angle_beta 90.00
_cell_angle_gamma 90.00
_symmetry_space_group_name_H-M 'P m -3 m'
_symmetry_Int_Tables_number 221
_symmetry_space_group_name_Hall '-P 4 2 3'
loop_
_atom_site_label
_atom_site_type_symbol
_atom_site_fract_x
_atom_site_fract_y
_atom_site_fract_z
_atom_site_occupancy
Ba1 Ba 0.000 0.000 0.000 1
Ta1 Ta 0.000 0.000 0.500 1
Tl1 Tl 0.500 0.500 0.500 1



Record 15
# BaTa2Tl PBE-GGA relaxed
# **DFT total energy**: -5.8262 eV/atom
# **DOS(E_F)**: 0.98 states/eV/atom
# **Calculated formation energy**: 1.172 eV/atom
data_BaTa2Tl
_chemical_formula_sum 'Ba2 Ta4 Tl2'
_cell_length_a 4.483
_cell_length_b 4.483
_cell_length_c 9.847
_cell_angle_alpha 90.00
_cell_angle_beta 90.00
_cell_angle_gamma 90.00
_symmetry_space_group_name_H-M 'I 4/m m m'
_symmetry_Int_Tables_number 139
_symmetry_space_group_name_Hall '-I 4 2'
loop_
_atom_site_label
_atom_site_type_symbol
_atom_site_fract_x
_atom_site_fract_y
_atom_site_fract_z
_atom_site_occupancy
Ba1 Ba 0.000 0.000 0.000 1
Ta1 Ta 0.000 0.500 0.250 1
Tl1 Tl 0.000 0.000 0.500 1